First-principles (PBE-GGA) data for a relaxed Tb2YIr3 crystal, as listed in Alexandria.

The structure in POSCAR format:
```
Tb2YIr3
1.0
4.8686 0.0000 0.0000
-2.4343 4.2163 0.0000
0.0000 0.0000 5.9575
Tb Y Ir
2 1 3
Cartesian
0.0000 2.8109 0.9948
2.4343 1.4054 4.9628
0.0000 0.0000 2.9788
0.0000 0.0000 0.0000
0.0000 2.8109 3.9727
2.4343 1.4054 1.9848
```

Summary:
DOS(E_F): 0.467 states/eV/atom
DFT total energy: -7.833 eV/atom
Energy of formation from the pure elements: -782 meV per atom
Space group: No. 164
Size of the total moment: 0.0 Bohr magnetons per cell